! Mn2TlN (GGA-PBEsol, optimized geometry); values from VASP
&SYSTEM
  ibrav = 0, nat = 4, ntyp = 3
/
ATOMIC_SPECIES
Mn 54.94 Mn.upf
N 14.01 N.upf
Tl 204.38 Tl.upf
CELL_PARAMETERS angstrom
4.356 0.000 0.000
2.178 3.772 0.000
2.178 1.257 3.557
ATOMIC_POSITIONS crystal
Mn 0.750 0.750 0.750
Mn 0.250 0.250 0.250
N 0.000 0.000 0.000
Tl 0.500 0.500 0.500
! N(E_F) = 3.03 states/eV/f.u.
! uncorrected formation energy = 1.2439 eV per atom